Compound: Pr8NiRh2
Source: the Alexandria database
Functional: PBE
Structure: relaxed

Cell lengths 8.8389, 12.3250, 6.5615 Å; angles 90.00, 110.69, 90.00 degrees
With the nearest neighbours (Å) after each atom.
Space group Cm (No. 8)
Symmetry-distinct sites (fractional):
1 Pr 0.0000 0.0000 0.0000 x2  2 Rh 2.94
2 Pr 0.0799 0.3637 0.8276 x4  2 Rh 2.84-2.96, 1 Ni 3.04
3 Pr 0.1452 0.1378 0.5595 x4  2 Rh 2.86-3.01, 1 Ni 2.93
4 Pr 0.2243 0.5000 0.4098 x2  2 Rh 2.97, 1 Ni 3.20
5 Pr 0.3599 0.1806 0.1925 x4  1 Ni 2.75
6 Ni 0.3725 0.0000 0.4448 x2  6 Pr 2.75-3.04
7 Rh 0.3653 0.3155 0.7071 x4  6 Pr 2.84-3.01

Results
Energy   -61.202 eV per formula unit
Density   6.91 g cm⁻³
E_form   -226 meV/atom
D(E_F)   20.37 states/eV per cell


Compound: PrNi2Rh
Source: the Alexandria database
Functional: PBE
Structure: relaxed

Cell lengths 5.2325, 4.9750, 11.5207 Å; angles 90.00, 90.00, 90.00 degrees
With the nearest neighbours (Å) after each atom.
Space group Pmma (No. 51)
Symmetry-distinct sites (fractional):
1 Pr 0.2500 0.0000 0.1082 x2  2 Rh 2.72
2 Pr 0.2500 0.5000 0.3852 x2  10 Ni 2.91-3.17
3 Ni 0.0000 0.0000 0.5000 x2  6 Ni 2.40-2.62
4 Ni 0.0000 0.5000 0.0000 x2  2 Rh 2.45, 2 Ni 2.62
5 Ni 0.2500 0.2484 0.6383 x4  4 Ni 2.40-2.50, 2 Rh 2.44-2.51
6 Rh 0.2500 0.0000 0.8283 x2  2 Rh 2.49, 2 Ni 2.51, 2 Pr 2.72
7 Rh 0.2500 0.5000 0.8199 x2  4 Ni 2.44-2.45, 2 Rh 2.49

Results
Energy   -24.196 eV per formula unit
Density   8.00 g cm⁻³
E_form   -126 meV/atom
D(E_F)   15.27 states/eV per cell


Compound: Pr2Ni9Rh
Source: the Alexandria database
Functional: PBE
Structure: relaxed

Cell lengths 4.9548, 4.9548, 24.4173 Å; angles 90.00, 90.00, 120.00 degrees
With the nearest neighbours (Å) after each atom.
Space group R-3m (No. 166, hexagonal axes)
Symmetry-distinct sites (fractional):
1 Pr 0.0000 0.0000 0.1321 x6  9 Ni 2.80-2.98
2 Ni 0.0000 0.0000 0.3328 x6  6 Ni 2.39-2.40
3 Ni 0.0000 0.0000 0.5000 x3  6 Ni 2.58
4 Ni 0.0011 0.5005 0.0787 x18  7 Ni 2.39-2.58
5 Rh 0.0000 0.0000 0.0000 x3  18 Ni 2.86-3.14

Results
Energy   -69.449 eV per formula unit
Density   8.76 g cm⁻³
E_form   -42 meV/atom
D(E_F)   49.13 states/eV per cell


Compound: Pr2Ni2Rh
Source: the Alexandria database
Functional: PBE
Structure: relaxed

Cell lengths 10.6111, 4.1491, 10.7481 Å; angles 90.00, 115.43, 90.00 degrees
With the nearest neighbours (Å) after each atom.
Space group C2/m (No. 12)
Symmetry-distinct sites (fractional):
1 Pr 0.0990 0.0000 0.3956 x4  6 Ni 3.00-3.08, 2 Rh 3.03
2 Pr 0.1994 0.5000 0.1391 x4  4 Rh 3.05-3.16, 7 Ni 3.09-3.34
3 Ni 0.0362 0.0000 0.9132 x4  1 Ni 2.30, 2 Rh 2.44
4 Ni 0.1149 0.5000 0.6033 x4  1 Rh 2.48, 1 Ni 2.50
5 Rh 0.0743 0.5000 0.8142 x4  3 Ni 2.44-2.48

Results
Energy   -30.415 eV per formula unit
Density   7.80 g cm⁻³
E_form   -388 meV/atom
D(E_F)   13.76 states/eV per cell


Compound: PrNi3Rh2
Source: the Alexandria database
Functional: PBE
Structure: relaxed

Cell lengths 9.3979, 8.2180, 5.1247 Å; angles 90.00, 90.00, 90.00 degrees
With the nearest neighbours (Å) after each atom.
Space group Cmcm (No. 63)
Symmetry-distinct sites (fractional):
1 Pr 0.0000 0.1981 0.2500 x4  9 Ni 2.98-3.23, 4 Rh 3.33
2 Ni 0.0000 0.4381 0.7500 x4  2 Ni 2.43, 4 Rh 2.51
3 Ni 0.1881 0.2359 0.7500 x8  1 Ni 2.43, 4 Rh 2.47-2.54
4 Rh 0.2231 0.5000 0.0000 x8  6 Ni 2.47-2.54, 2 Rh 2.56

Results
Energy   -37.980 eV per formula unit
Density   8.77 g cm⁻³
E_form   -192 meV/atom
D(E_F)   32.63 states/eV per cell


Compound: Pr8Ni2Rh
Source: the Alexandria database
Functional: PBE
Structure: relaxed

Cell lengths 8.6066, 12.4155, 6.5818 Å; angles 90.00, 110.35, 90.00 degrees
With the nearest neighbours (Å) after each atom.
Space group Cm (No. 8)
Symmetry-distinct sites (fractional):
1 Pr 0.0000 0.0000 0.0000 x2  2 Ni 2.95
2 Pr 0.0807 0.3636 0.8163 x4  2 Ni 2.81-2.88, 1 Rh 3.09
3 Pr 0.1474 0.1390 0.5616 x4  2 Ni 2.85-2.92, 1 Rh 2.97
4 Pr 0.2234 0.5000 0.4010 x2  2 Ni 3.02, 1 Rh 3.06
5 Pr 0.3548 0.1905 0.1818 x4  1 Rh 2.82
6 Ni 0.3696 0.3159 0.7066 x4  6 Pr 2.81-3.02
7 Rh 0.3738 0.0000 0.4231 x2  7 Pr 2.82-3.09

Results
Energy   -58.585 eV per formula unit
Density   6.79 g cm⁻³
E_form   -130 meV/atom
D(E_F)   24.84 states/eV per cell


Compound: Pr3Ni3Rh
Source: the Alexandria database
Functional: PBE
Structure: relaxed

Cell lengths 4.3700, 9.8443, 13.4126 Å; angles 90.00, 90.00, 90.00 degrees
With the nearest neighbours (Å) after each atom.
Space group Cmcm (No. 63)
Symmetry-distinct sites (fractional):
1 Pr 0.0000 0.0221 0.2500 x4  7 Ni 2.93-3.21
2 Pr 0.0000 0.2704 0.6004 x8  6 Ni 2.88-3.10, 1 Rh 2.98
3 Ni 0.0000 0.3199 0.2500 x4  2 Ni 2.48
4 Ni 0.0000 0.4377 0.0865 x8  2 Ni 2.48-2.63, 2 Rh 2.55
5 Rh 0.0000 0.0000 0.0000 x4  4 Ni 2.55

Results
Energy   -41.591 eV per formula unit
Density   8.08 g cm⁻³
E_form   -365 meV/atom
D(E_F)   19.50 states/eV per cell


Compound: Pr2Ni15Rh2
Source: the Alexandria database
Functional: PBE
Structure: relaxed

Cell lengths 8.4542, 8.4542, 12.3162 Å; angles 90.00, 90.00, 120.00 degrees
With the nearest neighbours (Å) after each atom.
Space group R-3m (No. 166, hexagonal axes)
Symmetry-distinct sites (fractional):
1 Pr 0.0000 0.0000 0.1569 x6  1 Rh 2.96, 18 Ni 3.01-3.27
2 Ni 0.0000 0.2921 0.5000 x18  8 Ni 2.41-2.60
3 Ni 0.0000 0.5000 0.0000 x9  8 Ni 2.41-2.44, 2 Rh 2.56
4 Ni 0.0001 0.5000 0.3441 x18  8 Ni 2.44-2.60, 1 Rh 2.61
5 Rh 0.0000 0.0000 0.3971 x6  1 Rh 2.53, 12 Ni 2.56-2.78

Results
Energy   -113.945 eV per formula unit
Density   8.94 g cm⁻³
E_form   -156 meV/atom
D(E_F)   79.80 states/eV per cell


Compound: Pr4Ni2Rh
Source: the Alexandria database
Functional: PBE
Structure: relaxed

Cell lengths 8.9975, 9.0006, 9.2079 Å; angles 90.00, 90.00, 90.00 degrees
With the nearest neighbours (Å) after each atom.
Space group Imma (No. 74)
Symmetry-distinct sites (fractional):
1 Pr 0.0000 0.0549 0.1989 x8  3 Ni 2.82-2.89, 1 Rh 2.83
2 Pr 0.1952 0.2500 0.5512 x8  3 Ni 2.82-2.89, 1 Rh 2.83
3 Ni 0.0000 0.0000 0.5000 x4  6 Pr 2.82-2.89
4 Ni 0.2500 0.2500 0.2500 x4  6 Pr 2.82-2.89
5 Rh 0.0000 0.2500 0.8746 x4  4 Pr 2.83

Results
Energy   -39.953 eV per formula unit
Density   6.98 g cm⁻³
E_form   -274 meV/atom
D(E_F)   19.56 states/eV per cell


Compound: Pr3NiRh8
Source: the Alexandria database
Functional: PBE
Structure: relaxed

Cell lengths 5.3753, 5.3753, 26.4288 Å; angles 90.00, 90.00, 120.00 degrees
With the nearest neighbours (Å) after each atom.
Space group R3m (No. 160, hexagonal axes)
Symmetry-distinct sites (fractional):
1 Pr 0.0000 0.0000 0.0000 x3  12 Rh 2.99-3.22, 3 Ni 3.12
2 Pr 0.0000 0.0000 0.1310 x3  12 Rh 3.15-3.19, 4 Pr 3.43-3.46
3 Pr 0.0000 0.0000 0.5200 x3  9 Rh 3.00-3.23
4 Ni 0.0000 0.0000 0.6540 x3  3 Rh 2.62
5 Rh 0.0000 0.0000 0.3180 x3  6 Rh 2.65-2.68
6 Rh 0.0000 0.0000 0.8188 x3  6 Rh 2.72-2.73
7 Rh 0.0004 0.5002 0.0673 x9  1 Ni 2.62, 6 Rh 2.68-2.73
8 Rh 0.9996 0.4998 0.5700 x9  6 Rh 2.65-2.72

Results
Energy   -83.516 eV per formula unit
Density   9.83 g cm⁻³
E_form   -382 meV/atom
D(E_F)   37.21 states/eV per cell


Compound: Pr6NiRh2
Source: the Alexandria database
Functional: PBE
Structure: relaxed

Cell lengths 14.1510, 4.1778, 10.0043 Å; angles 90.00, 113.77, 90.00 degrees
With the nearest neighbours (Å) after each atom.
Space group C2/m (No. 12)
Symmetry-distinct sites (fractional):
1 Pr 0.0713 0.0000 0.3116 x4  1 Ni 2.86, 2 Rh 2.86
2 Pr 0.1470 0.5000 0.0538 x4  2 Ni 2.84, 1 Rh 3.02
3 Pr 0.1493 0.5000 0.6484 x4  2 Rh 2.87
4 Ni 0.0000 0.0000 0.0000 x2  6 Pr 2.84-2.86
5 Rh 0.2223 0.5000 0.3825 x4  5 Pr 2.86-3.02, 2 Rh 3.00

Results
Energy   -52.186 eV per formula unit
Density   6.81 g cm⁻³
E_form   -336 meV/atom
D(E_F)   20.66 states/eV per cell


Compound: Pr3Ni4Rh4
Source: the Alexandria database
Functional: PBE
Structure: relaxed

Cell lengths 7.5220, 7.5220, 7.5220 Å; angles 90.00, 90.00, 90.00 degrees
With the nearest neighbours (Å) after each atom.
Space group I-43m (No. 217)
Symmetry-distinct sites (fractional):
1 Pr 0.0000 0.0000 0.5000 x6  4 Ni 3.10, 4 Rh 3.12
2 Ni 0.1987 0.1987 0.8013 x8  4 Rh 2.31-2.55
3 Rh 0.1238 0.1238 0.1238 x8  4 Ni 2.31-2.55

Results
Energy   -68.975 eV per formula unit
Density   8.34 g cm⁻³
E_form   -191 meV/atom
D(E_F)   30.09 states/eV per cell


Compound: PrNiRh2
Source: the Alexandria database
Functional: PBE
Structure: relaxed

Cell lengths 5.3582, 5.3582, 25.1730 Å; angles 90.00, 90.00, 120.00 degrees
With the nearest neighbours (Å) after each atom.
Space group R-3m (No. 166, hexagonal axes)
Symmetry-distinct sites (fractional):
1 Pr 0.0000 0.0000 0.0000 x3  6 Ni 3.09, 12 Rh 3.36
2 Pr 0.0000 0.0000 0.1401 x6  9 Rh 3.07-3.23, 3 Ni 3.17, 3 Pr 3.37
3 Ni 0.0000 0.0000 0.3329 x6  6 Rh 2.54-2.56
4 Ni 0.0000 0.0000 0.5000 x3  6 Rh 2.66
5 Rh 0.0003 0.5001 0.0807 x18  3 Ni 2.54-2.66, 4 Rh 2.68

Results
Energy   -27.147 eV per formula unit
Density   9.68 g cm⁻³
E_form   -471 meV/atom
D(E_F)   30.47 states/eV per cell


Compound: Pr2NiRh
Source: the Alexandria database
Functional: PBE
Structure: relaxed

Cell lengths 5.8979, 4.1700, 8.0167 Å; angles 90.00, 109.88, 90.00 degrees
With the nearest neighbours (Å) after each atom.
Space group P2_1/m (No. 11)
Symmetry-distinct sites (fractional):
1 Pr 0.2211 0.2500 0.4295 x2  3 Ni 2.98-3.12, 4 Rh 2.98-3.15
2 Pr 0.2214 0.2500 0.9312 x2  3 Rh 2.96-3.13, 4 Ni 2.97-3.17
3 Ni 0.3497 0.7500 0.2109 x2  2 Rh 2.70, 4 Pr 2.97-2.98
4 Rh 0.3422 0.7500 0.7126 x2  2 Ni 2.70, 4 Pr 2.96-2.98

Results
Energy   -24.658 eV per formula unit
Density   7.94 g cm⁻³
E_form   -492 meV/atom
D(E_F)   5.16 states/eV per cell


Compound: Pr4Ni2Rh
Source: the Alexandria database
Functional: PBE
Structure: relaxed

Cell lengths 11.2988, 8.9660, 7.6091 Å; angles 90.00, 110.21, 90.00 degrees
With the nearest neighbours (Å) after each atom.
Space group Cm (No. 8)
Symmetry-distinct sites (fractional):
1 Pr 0.0000 0.0000 0.0000 x2  3 Ni 2.98-2.99, 2 Rh 3.00-3.06
2 Pr 0.0000 0.5000 0.0016 x2  4 Ni 2.89-3.05, 1 Rh 3.01
3 Pr 0.0050 0.5000 0.5139 x2  4 Ni 2.91-3.04, 1 Rh 2.93
4 Pr 0.0078 0.0000 0.5184 x2  3 Ni 2.99-3.03, 2 Rh 3.00-3.04
5 Pr 0.2309 0.2521 0.8743 x4  4 Ni 2.99-3.06, 2 Rh 3.00-3.03
6 Pr 0.2398 0.2481 0.3734 x4  3 Ni 2.92-2.97, 2 Rh 2.95-2.96
7 Ni 0.2813 0.0000 0.1496 x2  7 Pr 2.94-3.05
8 Ni 0.2933 0.0000 0.6488 x2  2 Ni 2.75, 7 Pr 2.89-3.06
9 Ni 0.4491 0.2456 0.7294 x4  1 Ni 2.75, 1 Rh 2.89, 7 Pr 2.92-3.03
10 Rh 0.2811 0.5000 0.6384 x2  2 Ni 2.89, 7 Pr 2.93-3.03
11 Rh 0.2836 0.5000 0.1549 x2  7 Pr 2.95-3.06

Results
Energy   -40.387 eV per formula unit
Density   7.20 g cm⁻³
E_form   -336 meV/atom
D(E_F)   23.61 states/eV per cell


Compound: Pr2NiSb4Rh3
Source: the Alexandria database
Functional: PBE
Structure: relaxed

Cell lengths 4.5568, 4.5568, 10.4269 Å; angles 90.00, 90.00, 90.00 degrees
With the nearest neighbours (Å) after each atom.
Space group P-4m2 (No. 115)
Symmetry-distinct sites (fractional):
1 Pr 0.0000 0.5000 0.2405 x2  2 Ni 3.39, 6 Rh 3.39-3.51, 8 Sb 3.44-3.54
2 Ni 0.5000 0.5000 0.0000 x1  4 Sb 2.63
3 Sb 0.0000 0.0000 0.5000 x1  4 Rh 2.63
4 Sb 0.0000 0.5000 0.8743 x2  3 Rh 2.60-2.63, 2 Ni 2.63
5 Sb 0.5000 0.5000 0.5000 x1  4 Rh 2.63
6 Rh 0.0000 0.0000 0.0000 x1  4 Sb 2.63
7 Rh 0.0000 0.5000 0.6253 x2  5 Sb 2.60-2.63

Results
Energy   -61.482 eV per formula unit
Density   8.71 g cm⁻³
Formation energy (no corrections)   -73.3 kJ per mole of atoms
D(E_F)   6.20 states/eV per cell


Compound: Pr2Si4Ni3Rh
Source: the Alexandria database
Functional: PBE
Structure: relaxed

Cell lengths 4.0659, 4.0659, 9.8131 Å; angles 90.00, 90.00, 90.00 degrees
With the nearest neighbours (Å) after each atom.
Space group P-4m2 (No. 115)
Symmetry-distinct sites (fractional):
1 Pr 0.0000 0.5000 0.2417 x2  6 Ni 3.11-3.25, 8 Si 3.12-3.13, 2 Rh 3.25
2 Si 0.0000 0.0000 0.0000 x1  4 Ni 2.35
3 Si 0.0000 0.5000 0.6332 x2  3 Ni 2.42, 2 Rh 2.42
4 Si 0.5000 0.5000 0.0000 x1  4 Ni 2.35
5 Ni 0.0000 0.5000 0.8794 x2  5 Si 2.35-2.42
6 Ni 0.5000 0.5000 0.5000 x1  4 Si 2.42
7 Rh 0.0000 0.0000 0.5000 x1  4 Si 2.42

Results
Energy   -64.451 eV per formula unit
Density   6.89 g cm⁻³
Formation energy (no corrections)   -82.1 kJ per mole of atoms
D(E_F)   6.04 states/eV per cell


Compound: Pr2Si3Ni4Rh
Source: the Alexandria database
Functional: PBE
Structure: relaxed

Cell lengths 4.0420, 4.0420, 9.8994 Å; angles 90.00, 90.00, 90.00 degrees
With the nearest neighbours (Å) after each atom.
Space group P-4m2 (No. 115)
Symmetry-distinct sites (fractional):
1 Pr 0.0000 0.5000 0.2504 x2  8 Ni 3.05-3.19, 6 Si 3.14-3.20, 2 Rh 3.20
2 Si 0.0000 0.0000 0.0000 x1  4 Ni 2.47
3 Si 0.0000 0.5000 0.6190 x2  5 Ni 2.34-2.36
4 Ni 0.0000 0.0000 0.5000 x1  4 Si 2.34
5 Ni 0.0000 0.5000 0.8573 x2  3 Si 2.36-2.47, 2 Rh 2.47
6 Ni 0.5000 0.5000 0.5000 x1  4 Si 2.34
7 Rh 0.5000 0.5000 0.0000 x1  4 Ni 2.47

Results
Energy   -62.935 eV per formula unit
Density   7.23 g cm⁻³
Formation energy (no corrections)   -64.0 kJ per mole of atoms
D(E_F)   9.10 states/eV per cell


Compound: Pr2Si4NiRh3
Source: the Alexandria database
Functional: PBE
Structure: relaxed

Cell lengths 4.1987, 4.1987, 9.7977 Å; angles 90.00, 90.00, 90.00 degrees
With the nearest neighbours (Å) after each atom.
Space group P-4m2 (No. 115)
Symmetry-distinct sites (fractional):
1 Pr 0.0000 0.5000 0.2477 x2  6 Rh 3.20-3.24, 8 Si 3.21-3.22, 2 Ni 3.24
2 Si 0.0000 0.0000 0.0000 x1  4 Rh 2.44
3 Si 0.0000 0.5000 0.6239 x2  2 Ni 2.42, 3 Rh 2.42-2.45
4 Si 0.5000 0.5000 0.0000 x1  4 Rh 2.44
5 Ni 0.0000 0.0000 0.5000 x1  4 Si 2.42
6 Rh 0.0000 0.5000 0.8738 x2  5 Si 2.44-2.45
7 Rh 0.5000 0.5000 0.5000 x1  4 Si 2.42

Results
Energy   -68.357 eV per formula unit
Density   7.32 g cm⁻³
Formation energy (no corrections)   -89.4 kJ per mole of atoms
D(E_F)   8.62 states/eV per cell


Compound: PrSi2NiRh
Source: the Alexandria database
Functional: PBE
Structure: relaxed

Cell lengths 4.0811, 4.0811, 10.0716 Å; angles 90.00, 90.00, 90.00 degrees
With the nearest neighbours (Å) after each atom.
Space group I-4m2 (No. 119)
Symmetry-distinct sites (fractional):
1 Pr 0.0000 0.0000 0.0000 x2  8 Si 3.15, 4 Ni 3.24, 4 Rh 3.24
2 Si 0.0000 0.0000 0.3746 x4  2 Ni 2.40, 2 Rh 2.40, 1 Si 2.53
3 Ni 0.0000 0.5000 0.7500 x2  4 Si 2.40
4 Rh 0.0000 0.5000 0.2500 x2  4 Si 2.40

Results
Energy   -33.213 eV per formula unit
Density   7.10 g cm⁻³
Formation energy (no corrections)   -86.0 kJ per mole of atoms
D(E_F)   9.60 states/eV per cell